Entry 1:
Rb3Cu2F7 PBE relaxed; DOS(E_F) = 0.227 states/eV per atom; formation energy (no corrections) = -2185 meV per atom; space group = I4/mmm (139); V = 191.65 Å³/cell
1.0
4.179 0.000 0.000
0.000 4.179 0.000
-2.090 -2.090 10.972
F Cu Rb
7 2 3
direct
0.185 0.185 0.370
0.594 0.094 0.187
0.000 0.000 0.000
0.815 0.815 0.630
0.906 0.406 0.813
0.094 0.594 0.187
0.406 0.906 0.813
0.907 0.907 0.813
0.093 0.093 0.187
0.316 0.316 0.632
0.500 0.500 0.000
0.684 0.684 0.368

Entry 2:
RbCu2F PBE relaxed; DOS(E_F) = 1.040 states/eV per atom; formation energy (no corrections) = 389 meV per atom; space group = Fm-3m (225); V = 86.48 Å³/cell; ΔE to the lowest computed polymorph = 1.007 eV per atom
1.0
0.000 3.510 3.510
3.510 0.000 3.510
3.510 3.510 0.000
F Cu Rb
1 2 1
direct
0.000 0.000 0.000
0.250 0.250 0.250
0.750 0.750 0.750
0.500 0.500 0.500

Entry 3:
RbCuF4 PBE relaxed; DOS(E_F) = 0.648 states/eV per atom; formation energy (no corrections) = -1665 meV per atom; space group = F-43m (216); V = 131.86 Å³/cell
1.0
-3.382 1.277 -4.424
-3.991 -3.714 -1.710
-5.529 1.147 0.869
F Cu Rb
4 1 1
direct
0.870 0.391 0.870
0.391 0.870 0.870
0.870 0.870 0.391
0.870 0.870 0.870
0.000 0.000 0.000
0.500 0.500 0.500

Entry 4:
RbCu2F8 PBE relaxed; DOS(E_F) = 0.356 states/eV per atom; formation energy (no corrections) = -1421 meV per atom; space group = Cmmm (65); V = 153.14 Å³/cell; ΔE to the lowest computed polymorph = 0.074 eV per atom
1.0
-1.845 -2.796 1.549
6.006 -1.716 4.055
-5.745 4.542 1.354
Rb F Cu
1 8 2
direct
0.500 0.000 0.000
0.000 0.361 0.056
0.745 0.500 0.500
0.000 0.944 0.639
0.000 0.639 0.944
0.500 0.697 0.303
0.255 0.500 0.500
0.500 0.303 0.697
0.000 0.056 0.361
0.000 0.666 0.334
0.000 0.334 0.666

Entry 5:
RbCu7F12 PBE relaxed; DOS(E_F) = 0.475 states/eV per atom; formation energy (no corrections) = -1536 meV per atom; space group = Im-3 (204); V = 248.05 Å³/cell
1.0
6.464 0.000 -2.285
-3.232 5.598 -2.285
0.000 0.000 6.856
F Cu Rb
12 7 1
direct
0.142 0.319 0.823
0.319 0.177 0.495
0.681 0.177 0.858
0.505 0.681 0.823
0.319 0.823 0.142
0.681 0.823 0.505
0.177 0.858 0.681
0.858 0.681 0.177
0.823 0.142 0.319
0.823 0.505 0.681
0.495 0.319 0.177
0.177 0.495 0.319
0.500 0.500 0.500
0.500 0.000 0.500
0.000 0.000 0.500
0.500 0.000 0.000
0.500 0.500 0.000
0.000 0.500 0.000
0.000 0.500 0.500
0.000 0.000 0.000

Entry 6:
Rb2CuF PBE relaxed; DOS(E_F) = 0.000 states/eV per atom; formation energy (no corrections) = -1014 meV per atom; space group = I-42d (122); V = 292.66 Å³/cell; ΔE to the lowest computed polymorph = 0.000 eV per atom
1.0
7.943 0.000 0.000
0.000 7.943 0.000
3.972 3.972 4.638
F Rb Cu
2 4 2
direct
0.500 0.500 0.000
0.250 0.750 0.500
0.375 0.452 0.750
0.202 0.625 0.250
0.875 0.798 0.750
0.548 0.125 0.250
0.000 0.000 0.000
0.750 0.250 0.500

Entry 7:
Rb4CuF5 PBE relaxed; formation energy (no corrections) = -2244 meV per atom; space group = I4 (79); V = 210.22 Å³/cell
1.0
5.727 0.000 0.000
2.864 6.058 0.000
2.864 0.000 6.058
Rb F Cu
4 5 1
direct
0.216 0.195 0.392
0.803 0.805 0.608
0.608 0.608 0.195
0.410 0.392 0.805
0.918 0.346 0.821
0.419 0.000 0.000
0.086 0.654 0.179
0.740 0.179 0.346
0.265 0.821 0.654
0.045 0.000 0.000

Entry 8:
Rb2CuF PBE relaxed; DOS(E_F) = 0.000 states/eV per atom; formation energy (no corrections) = -848 meV per atom; space group = Fm-3m (225); V = 117.04 Å³/cell; ΔE to the lowest computed polymorph = 0.166 eV per atom
1.0
0.042 -3.630 4.119
-4.708 -1.466 2.415
-2.023 -5.046 -0.767
Rb Cu F
2 1 1
direct
0.250 0.250 0.250
0.750 0.750 0.750
0.500 0.500 0.500
0.000 0.000 0.000